Density functional theory data (GGA-PBE) for a relaxed CdCuAs2O6 crystal.

The uncorrected formation energy comes out at -0.967 eV per atom.

It has space group C2/c (No. 15), with a = 10.501 Å, b = 9.431 Å, c = 6.258 Å, α = 90.00°, β = 114.99° and γ = 90.00°. Symmetry generates all atoms from Cd at (0.000, 0.112, 0.250), Cu at (0.000, 0.238, 0.750), As at (0.191, 0.424, 0.216), O at (0.116, 0.261, 0.088), O at (0.124, 0.085, 0.660) and O at (0.144, 0.450, 0.478).

Density functional theory data (GGA-PBE) for a relaxed CdCuAsO4 crystal.

The uncorrected formation energy comes out at -1.001 eV per atom.

It has space group Cmcm (No. 63), with a = 6.020 Å, b = 9.308 Å, c = 6.560 Å, α = 90.00°, β = 90.00° and γ = 90.00°. Symmetry generates all atoms from Cd at (0.000, 0.000, 0.000), Cu at (0.000, 0.309, 0.250), As at (0.000, 0.359, 0.750), O at (0.000, 0.252, 0.535) and O at (0.226, 0.479, 0.750).

Density functional theory data (GGA-PBE) for a relaxed ScCd2CuAs crystal.

The value obtained for the formation energy is 0.361 eV per atom.

It has space group P4/mmm (No. 123), with a = 5.158 Å, b = 5.158 Å, c = 5.037 Å, α = 90.00°, β = 90.00° and γ = 90.00°. Symmetry generates all atoms from Sc at (0.000, 0.000, 0.000), Cd at (0.000, 0.500, 0.500), Cu at (0.500, 0.500, 0.000) and As at (0.000, 0.000, 0.500).

Density functional theory data (GGA-PBE) for a relaxed CdCuAs2Se crystal.

The uncorrected formation energy comes out at 1.006 eV per atom. The value obtained for the energy relative to the lowest polymorph listed for this composition is 521 meV per atom.

It has space group P4/mmm (No. 123), with a = 5.122 Å, b = 5.122 Å, c = 4.813 Å, α = 90.00°, β = 90.00° and γ = 90.00°. Symmetry generates all atoms from Cd at (0.000, 0.000, 0.000), Cu at (0.000, 0.000, 0.500), As at (0.000, 0.500, 0.000) and Se at (0.500, 0.500, 0.500).

Density functional theory data (GGA-PBE) for a relaxed CdCuAs2Se crystal.

The uncorrected formation energy comes out at 0.485 eV per atom. The value obtained for the energy relative to the lowest polymorph listed for this composition is 0 meV per atom.

It has space group P4/mmm (No. 123), with a = 4.700 Å, b = 4.700 Å, c = 5.028 Å, α = 90.00°, β = 90.00° and γ = 90.00°. Symmetry generates all atoms from Cd at (0.000, 0.000, 0.000), Cu at (0.500, 0.500, 0.500), As at (0.000, 0.500, 0.500) and Se at (0.500, 0.500, 0.000).

Density functional theory data (GGA-PBE) for a relaxed CdCuAsSe2 crystal.

The uncorrected formation energy comes out at 0.396 eV per atom. The value obtained for the energy relative to the lowest polymorph listed for this composition is 0 meV per atom.

It has space group P4/mmm (No. 123), with a = 5.013 Å, b = 5.013 Å, c = 4.514 Å, α = 90.00°, β = 90.00° and γ = 90.00°. Symmetry generates all atoms from Cd at (0.000, 0.000, 0.000), Cu at (0.500, 0.500, 0.500), As at (0.500, 0.500, 0.000) and Se at (0.000, 0.500, 0.500).

Summary of M_tot in μB/cell
0.0; 0.1; 0.0; 0.0; 0.0; 0.0
(order as listed above)
Summary of raw total energy in eV/atom
-5.373; -5.214; -3.021; -2.553; -3.074; -2.930
(order as listed above)